a | ## LaCNF2 (PBE)

Data for a relaxed LaCNF2 crystal.

Structure (POSCAR):
```
LaCNF2
1.0
4.543 0.000 0.000
0.000 4.543 0.000
0.000 0.000 4.902
La C F N
1 1 2 1
Direct
0.000 0.000 0.000 La
0.500 0.500 0.500 C
0.500 0.000 0.000 F
0.000 0.500 0.000 F
0.000 0.000 0.500 N
```

## Properties
Size of the total moment (μB/cell): 1.053

***

b | ## LaCNF2 (PBE)

Data for a relaxed LaCNF2 crystal.

Structure (POSCAR):
```
LaCNF2
1.0
-4.218 1.109 1.038
-0.462 -3.855 2.242
0.974 1.347 2.517
F N La C
2 1 1 1
Direct
0.000 0.500 0.000 F
0.500 0.000 0.000 F
0.000 0.000 0.500 N
0.500 0.500 0.500 La
0.000 0.000 0.000 C
```

## Properties
Size of the total moment (μB/cell): 0.317

***

The most stable structure shown above is b; the least stable is a.